# Dy2Ni3Ge5

A geometry-optimized Dy2Ni3Ge5 structure (PBE, OQMD via LeMat-Bulk).

extended XYZ file:
```
20
Lattice="-4.8995 5.7592 2.9409 4.8995 -5.7592 2.9409 4.8995 5.7592 -2.9409" Properties=species:S:1:pos:R:3 pbc="T T T"
Dy 2.3156 1.5174 0.0000
Dy 2.3156 -1.5174 2.9409
Dy 2.5839 7.2766 0.0000
Dy 2.5839 4.2418 2.9409
Ni 3.7995 -4.1941 2.9409
Ni 4.8995 0.0000 1.4705
Ni 3.7995 4.1941 0.0000
Ni 1.1000 1.5651 2.9409
Ni 0.0000 5.7592 1.4705
Ni 1.1000 9.9533 0.0000
Ge 4.8995 -2.6996 1.4705
Ge 6.4345 1.1740 0.0000
Ge 0.0000 0.0000 1.4705
Ge 1.5350 4.5852 0.0000
Ge 4.8995 2.6996 1.4705
Ge 0.0000 3.0596 1.4705
Ge 3.3645 1.1740 2.9409
Ge 0.0000 0.0000 4.4114
Ge -1.5350 4.5852 2.9409
Ge 0.0000 8.4588 1.4705
```

Results
- energy above the lowest structure with this stoichiometry (meV/atom) = 2
- SG = No. 72

# DyNiGe3

A geometry-optimized DyNiGe3 structure (PBE, OQMD via LeMat-Bulk).

extended XYZ file:
```
10
Lattice="2.0475 -10.8579 0.0000 2.0475 10.8579 0.0000 0.0000 0.0000 4.0872" Properties=species:S:1:pos:R:3 pbc="T T T"
Dy 2.0475 7.1923 0.0000
Dy 2.0475 -7.1923 0.0000
Ni 2.0475 2.4107 2.0436
Ni 2.0475 -2.4107 2.0436
Ge 2.0475 9.6109 2.0436
Ge 2.0475 4.7035 2.0436
Ge 2.0475 1.2438 0.0000
Ge 2.0475 -1.2438 0.0000
Ge 2.0475 -4.7035 2.0436
Ge 2.0475 -9.6109 2.0436
```

Results
- SG = No. 65

The evaluated theoretical density for the records listed, in turn: 8.6, 8.0 g/cm3.
The evaluated size of the total moment for the records listed, in turn: 0.00, 0.00 μB/f.u..
The evaluated VASP energy for the records listed, in turn: -110.762, -53.854 eV per cell.